Material: LiVN2F
Method: DFT, PBE+U
State: relaxed

- polymorph energy (0 for the lowest one) (meV/atom) = 1217
- calculated density (Mg/m³) = 4.01

abc: 3.6123 3.6123 3.3286
angles: 90.00 90.00 90.00
Closest atoms and distances in Å follow each position.
Fractional positions:
Li 0.0000 0.0000 0.0000  2 F 1.66, 4 N 1.81
V 0.5000 0.5000 0.5000  8 N 2.46, 4 F 2.55
N 0.0000 0.5000 0.0000  2 Li 1.81
N 0.5000 0.0000 0.0000  2 Li 1.81
F 0.0000 0.0000 0.5000  2 Li 1.66